Below is a relaxed TcSnWCl2 crystal, with properties calculated at the PBEsol level.

Raw formation energy = 9.9 eV/f.u.
Fermi-level density of states = 5.6 states/eV/f.u.

a = 5.052 Å, b = 5.052 Å, c = 5.553 Å
α = 90.00°, β = 90.00°, γ = 90.00°
Last column: magnetic moment on the atom in μB.
Positions (direct):
1 Cl 0.000 0.500 0.000  0.09
2 Cl 0.500 0.000 0.000  0.09
3 Sn 0.000 0.000 0.000  0.04
4 W 0.000 0.000 0.500  2.58
5 Tc 0.500 0.500 0.500  3.70